# TlNiP2S, optimized geometry, DFT GGA-PBE
data_TlNiP2S
_cell_length_a 5.080
_cell_length_b 5.080
_cell_length_c 5.082
_cell_angle_alpha 90.00
_cell_angle_beta 90.00
_cell_angle_gamma 90.00
_space_group_name_H-M_alt 'P 4/m m m'
_space_group_IT_number 123
_space_group_name_Hall '-P 4 2'
loop_
_atom_site_label
_atom_site_type_symbol
_atom_site_fract_x
_atom_site_fract_y
_atom_site_fract_z
Tl1 Tl 0.000 0.000 0.000
Ni1 Ni 0.500 0.500 0.500
P1 P 0.000 0.500 0.000
S1 S 0.000 0.000 0.500
# **Formation energy from raw total energies**: 1.752 eV per atom
# **Size of the total moment**: 0.12 μB/atom

# TlNiP2S8, optimized geometry, DFT GGA-PBE
data_TlNiP2S8
_cell_length_a 5.6611
_cell_length_b 5.6611
_cell_length_c 9.7548
_cell_angle_alpha 90.00
_cell_angle_beta 90.00
_cell_angle_gamma 120.00
_space_group_name_H-M_alt 'P -3'
_space_group_IT_number 147
loop_
_space_group_symop_operation_xyz
'x,y,z'
'-x,-y,-z'
'-y,x-y,z'
'y,-x+y,-z'
'-x+y,-x,z'
'x-y,x,-z'
loop_
_atom_site_label
_atom_site_type_symbol
_atom_site_fract_x
_atom_site_fract_y
_atom_site_fract_z
Tl1 Tl 0.0000 0.0000 0.0000
Ni1 Ni 0.0000 0.0000 0.5000
P1 P 0.3333 0.6667 0.7060
S1 S 0.0199 0.6918 0.3536
S2 S 0.3333 0.6667 0.9109
# **Formation energy from raw total energies**: -0.070 eV per atom
# **Size of the total moment**: 0.00 μB/atom

# TlNiPS2, optimized geometry, DFT GGA-PBE
data_TlNiPS2
_cell_length_a 4.927
_cell_length_b 4.927
_cell_length_c 4.134
_cell_angle_alpha 90.00
_cell_angle_beta 90.00
_cell_angle_gamma 90.00
_space_group_name_H-M_alt 'P 4/m m m'
_space_group_IT_number 123
_space_group_name_Hall '-P 4 2'
loop_
_atom_site_label
_atom_site_type_symbol
_atom_site_fract_x
_atom_site_fract_y
_atom_site_fract_z
Tl1 Tl 0.000 0.000 0.000
Ni1 Ni 0.500 0.500 0.500
P1 P 0.500 0.500 0.000
S1 S 0.000 0.500 0.500
# **Formation energy from raw total energies**: 0.298 eV per atom
# **Size of the total moment**: 0.00 μB/atom

# Tm8NiP3S4, optimized geometry, DFT GGA-PBE
data_Tm8NiP3S4
_cell_length_a 7.7704
_cell_length_b 7.7704
_cell_length_c 19.2270
_cell_angle_alpha 90.00
_cell_angle_beta 90.00
_cell_angle_gamma 120.00
_space_group_name_H-M_alt 'R -3 m'
_space_group_IT_number 166
_space_group_name_Hall '-R 3 2"'
loop_
_atom_site_label
_atom_site_type_symbol
_atom_site_fract_x
_atom_site_fract_y
_atom_site_fract_z
Tm1 Tm 0.0000 0.0000 0.2471
Tm2 Tm 0.0045 0.5022 0.2471
Ni1 Ni 0.0000 0.0000 0.5000
P1 P 0.0000 0.5000 0.5000
S1 S 0.0000 0.0000 0.0000
S2 S 0.0000 0.5000 0.0000
# **Formation energy from raw total energies**: -1.634 eV per atom
# **Size of the total moment**: 0.00 μB/atom

# U3Ni2P2S4, optimized geometry, DFT GGA-PBE
data_U3Ni2P2S4
_cell_length_a 4.293
_cell_length_b 4.293
_cell_length_c 21.772
_cell_angle_alpha 90.00
_cell_angle_beta 90.00
_cell_angle_gamma 90.00
_space_group_name_H-M_alt 'I 4/m m m'
_space_group_IT_number 139
_space_group_name_Hall '-I 4 2'
loop_
_atom_site_label
_atom_site_type_symbol
_atom_site_fract_x
_atom_site_fract_y
_atom_site_fract_z
U1 U 0.000 0.000 0.000
U2 U 0.000 0.000 0.171
Ni1 Ni 0.000 0.000 0.393
P1 P 0.000 0.000 0.293
S1 S 0.000 0.500 0.080
# **Formation energy from raw total energies**: -0.824 eV per atom
# **Size of the total moment**: 0.53 μB/atom

# UNiPS, optimized geometry, DFT GGA-PBE
data_UNiPS
_cell_length_a 3.953
_cell_length_b 3.953
_cell_length_c 8.289
_cell_angle_alpha 90.00
_cell_angle_beta 90.00
_cell_angle_gamma 90.00
_space_group_name_H-M_alt 'P 4/n m m'
_space_group_IT_number 129
loop_
_space_group_symop_operation_xyz
'x,y,z'
'-x,-y,-z'
'-y+1/2,x,z'
'y+1/2,-x,-z'
'-x+1/2,-y+1/2,z'
'x+1/2,y+1/2,-z'
'y,-x+1/2,z'
'-y,x+1/2,-z'
'x+1/2,-y,-z'
'-x+1/2,y,z'
'-y,-x,-z'
'y,x,z'
'-x,y+1/2,-z'
'x,-y+1/2,z'
'y+1/2,x+1/2,-z'
'-y+1/2,-x+1/2,z'
loop_
_atom_site_label
_atom_site_type_symbol
_atom_site_fract_x
_atom_site_fract_y
_atom_site_fract_z
U1 U 0.250 0.250 0.224
Ni1 Ni 0.250 0.750 0.500
P1 P 0.250 0.250 0.649
S1 S 0.250 0.750 0.000
# **Formation energy from raw total energies**: -0.900 eV per atom
# **Size of the total moment**: 0.26 μB/atom

no.,calculated volume (A^3/atom)
1,26.23
2,22.56
3,20.08
4,20.94
5,18.24
6,16.19